a:
VASP calculation (SCAN) on LiSbW at its PBEsol-relaxed geometry.

It has space group Fmm2 (No. 42), with a = 3.422 Å, b = 4.701 Å, c = 13.914 Å, α = 90.00°, β = 90.00° and γ = 90.00°. The asymmetric unit holds Li at (0.000, 0.000, 0.000), Sb at (0.000, 0.000, 0.689) and W at (0.000, 0.000, 0.345).

The total magnetization is 0.0 Bohr magnetons per cell.


b:
VASP calculation (SCAN) on LiSbW at its PBEsol-relaxed geometry.

It has space group F-43m (No. 216), with a = 6.231 Å, b = 6.231 Å, c = 6.231 Å, α = 90.00°, β = 90.00° and γ = 90.00°. The asymmetric unit holds Li at (0.000, 0.000, 0.000), Sb at (0.250, 0.250, 0.750) and W at (0.000, 0.000, 0.500).

The total magnetization is 5.8 Bohr magnetons per cell.


Which of them is the most stable? Correct choice: a.


a:
VASP calculation (SCAN) on LiZrSb2 at its PBEsol-relaxed geometry.

It has space group Pm (No. 6), with a = 3.175 Å, b = 4.982 Å, c = 5.739 Å, α = 90.00°, β = 105.82° and γ = 90.00°. The asymmetric unit holds Li at (0.000, 0.000, 0.000), Zr at (0.830, 0.500, 0.640), Sb at (0.270, 0.000, 0.518) and Sb at (0.550, 0.500, 0.093).

The total magnetization is 0.0 Bohr magnetons per cell.


b:
VASP calculation (SCAN) on LiZrSb2 at its PBEsol-relaxed geometry.

It has space group Cmmm (No. 65), with a = 4.066 Å, b = 5.143 Å, c = 8.494 Å, α = 90.00°, β = 90.00° and γ = 90.00°. The asymmetric unit holds Li at (0.000, 0.000, 0.000), Zr at (0.000, 0.000, 0.500) and Sb at (0.000, 0.500, 0.254).

The total magnetization is 0.0 Bohr magnetons per cell.


c:
VASP calculation (SCAN) on LiZrSb2 at its PBEsol-relaxed geometry.

It has space group I4/mmm (No. 139), with a = 4.537 Å, b = 4.537 Å, c = 8.253 Å, α = 90.00°, β = 90.00° and γ = 90.00°. The asymmetric unit holds Li at (0.000, 0.000, 0.000), Zr at (0.000, 0.000, 0.500) and Sb at (0.000, 0.500, 0.250).

The total magnetization is 0.0 Bohr magnetons per cell.


Which of them is the most stable? Correct choice: b.


a:
VASP calculation (SCAN) on LiSc3 at its PBEsol-relaxed geometry.

It has space group P-6m2 (No. 187), with a = 3.2302 Å, b = 3.2302 Å, c = 10.2197 Å, α = 90.00°, β = 90.00° and γ = 120.00°. The asymmetric unit holds Li at (0.0000, 0.0000, 0.0000), Sc at (0.0000, 0.0000, 0.5000) and Sc at (0.3333, 0.6667, 0.2532).

The total magnetization is 1.0 Bohr magnetons per cell.


b:
VASP calculation (SCAN) on LiSc3 at its PBEsol-relaxed geometry.

It has space group Immm (No. 71), with a = 3.414 Å, b = 4.977 Å, c = 10.285 Å, α = 90.00°, β = 90.00° and γ = 90.00°. The asymmetric unit holds Li at (0.000, 0.000, 0.000), Sc at (0.000, 0.000, 0.500) and Sc at (0.000, 0.500, 0.274).

The total magnetization is 1.0 Bohr magnetons per cell.


c:
VASP calculation (SCAN) on LiSc3 at its PBEsol-relaxed geometry.

It has space group P4/mmm (No. 123), with a = 5.040 Å, b = 5.040 Å, c = 3.521 Å, α = 90.00°, β = 90.00° and γ = 90.00°. The asymmetric unit holds Li at (0.000, 0.000, 0.000), Sc at (0.000, 0.500, 0.500) and Sc at (0.500, 0.500, 0.000).

The total magnetization is 0.6 Bohr magnetons per cell.


d:
VASP calculation (SCAN) on LiSc3 at its PBEsol-relaxed geometry.

It has space group P4/mmm (No. 123), with a = 3.249 Å, b = 3.249 Å, c = 8.455 Å, α = 90.00°, β = 90.00° and γ = 90.00°. The asymmetric unit holds Li at (0.000, 0.000, 0.000), Sc at (0.000, 0.000, 0.500) and Sc at (0.500, 0.500, 0.240).

The total magnetization is 2.6 Bohr magnetons per cell.


Which of them is the most stable? Correct choice: a.


a:
VASP calculation (SCAN) on LiScSi2 at its PBEsol-relaxed geometry.

It has space group P4/mmm (No. 123), with a = 3.898 Å, b = 3.898 Å, c = 3.939 Å, α = 90.00°, β = 90.00° and γ = 90.00°. The asymmetric unit holds Li at (0.000, 0.000, 0.000), Sc at (0.500, 0.500, 0.000) and Si at (0.000, 0.500, 0.500).

The total magnetization is 0.0 Bohr magnetons per cell.


b:
VASP calculation (SCAN) on LiScSi2 at its PBEsol-relaxed geometry.

It has space group Fm-3m (No. 225), with a = 6.358 Å, b = 6.358 Å, c = 6.358 Å, α = 90.00°, β = 90.00° and γ = 90.00°. The asymmetric unit holds Li at (0.000, 0.000, 0.000), Sc at (0.000, 0.000, 0.500) and Si at (0.250, 0.250, 0.250).

The total magnetization is 0.0 Bohr magnetons per cell.


Which of them is the most stable? Correct choice: a.


a:
VASP calculation (SCAN) on Li3ScSi at its PBEsol-relaxed geometry.

It has space group Pm-3m (No. 221), with a = 4.542 Å, b = 4.542 Å, c = 4.542 Å, α = 90.00°, β = 90.00° and γ = 90.00°. The asymmetric unit holds Li at (0.000, 0.000, 0.500), Sc at (0.500, 0.500, 0.500) and Si at (0.000, 0.000, 0.000).

The total magnetization is 0.7 Bohr magnetons per cell.


b:
VASP calculation (SCAN) on Li3ScSi at its PBEsol-relaxed geometry.

It has space group Pm-3m (No. 221), with a = 4.857 Å, b = 4.857 Å, c = 4.857 Å, α = 90.00°, β = 90.00° and γ = 90.00°. The asymmetric unit holds Li at (0.000, 0.000, 0.500), Sc at (0.000, 0.000, 0.000) and Si at (0.500, 0.500, 0.500).

The total magnetization is 1.5 Bohr magnetons per cell.


Which of them is the most stable? Correct choice: a.


a:
VASP calculation (SCAN) on LiScSn3 at its PBEsol-relaxed geometry.

It has space group Pm-3m (No. 221), with a = 5.438 Å, b = 5.438 Å, c = 5.438 Å, α = 90.00°, β = 90.00° and γ = 90.00°. The asymmetric unit holds Li at (0.000, 0.000, 0.000), Sc at (0.500, 0.500, 0.500) and Sn at (0.000, 0.500, 0.500).

The total magnetization is 0.0 Bohr magnetons per cell.


b:
VASP calculation (SCAN) on LiScSn3 at its PBEsol-relaxed geometry.

It has space group Pm-3m (No. 221), with a = 4.888 Å, b = 4.888 Å, c = 4.888 Å, α = 90.00°, β = 90.00° and γ = 90.00°. The asymmetric unit holds Li at (0.000, 0.000, 0.000), Sc at (0.500, 0.500, 0.500) and Sn at (0.000, 0.000, 0.500).

The total magnetization is 0.0 Bohr magnetons per cell.


Which of them is the most stable? Correct choice: b.


a:
VASP calculation (SCAN) on SrLiSc2 at its PBEsol-relaxed geometry.

It has space group P4mm (No. 99), with a = 3.550 Å, b = 3.550 Å, c = 8.938 Å, α = 90.00°, β = 90.00° and γ = 90.00°. The asymmetric unit holds Sr at (0.000, 0.000, 0.000), Li at (0.500, 0.500, 0.287), Sc at (0.000, 0.000, 0.487) and Sc at (0.500, 0.500, 0.696).

The total magnetization is 1.3 Bohr magnetons per cell.


b:
VASP calculation (SCAN) on SrLiSc2 at its PBEsol-relaxed geometry.

It has space group Pmmm (No. 47), with a = 3.297 Å, b = 5.384 Å, c = 6.213 Å, α = 90.00°, β = 90.00° and γ = 90.00°. The asymmetric unit holds Sr at (0.000, 0.000, 0.000), Li at (0.000, 0.000, 0.500) and Sc at (0.500, 0.500, 0.264).

The total magnetization is 0.3 Bohr magnetons per cell.


Which of them is the most stable? Correct choice: a.


a:
VASP calculation (SCAN) on SrLi2Sc at its PBEsol-relaxed geometry.

It has space group P4/mmm (No. 123), with a = 3.757 Å, b = 3.757 Å, c = 7.719 Å, α = 90.00°, β = 90.00° and γ = 90.00°. The asymmetric unit holds Sr at (0.000, 0.000, 0.000), Li at (0.500, 0.500, 0.296) and Sc at (0.000, 0.000, 0.500).

The total magnetization is 1.0 Bohr magnetons per cell.


b:
VASP calculation (SCAN) on SrLi2Sc at its PBEsol-relaxed geometry.

It has space group I-4m2 (No. 119), with a = 4.582 Å, b = 4.582 Å, c = 10.693 Å, α = 90.00°, β = 90.00° and γ = 90.00°. The asymmetric unit holds Sr at (0.000, 0.000, 0.000), Li at (0.000, 0.000, 0.500), Li at (0.000, 0.500, 0.250) and Sc at (0.000, 0.500, 0.750).

The total magnetization is 2.3 Bohr magnetons per cell.


c:
VASP calculation (SCAN) on SrLi2Sc at its PBEsol-relaxed geometry.

It has space group Fm-3m (No. 225), with a = 7.605 Å, b = 7.605 Å, c = 7.605 Å, α = 90.00°, β = 90.00° and γ = 90.00°. The asymmetric unit holds Sr at (0.000, 0.000, 0.000), Li at (0.250, 0.250, 0.250) and Sc at (0.000, 0.000, 0.500).

The total magnetization is 0.0 Bohr magnetons per cell.


Which of them is the most stable? Correct choice: a.


a:
VASP calculation (SCAN) on LiScTa at its PBEsol-relaxed geometry.

It has space group F-43m (No. 216), with a = 6.447 Å, b = 6.447 Å, c = 6.447 Å, α = 90.00°, β = 90.00° and γ = 90.00°. The asymmetric unit holds Li at (0.000, 0.000, 0.000), Sc at (0.250, 0.250, 0.250) and Ta at (0.000, 0.000, 0.500).

The total magnetization is 10.1 Bohr magnetons per cell.


b:
VASP calculation (SCAN) on LiScTa at its PBEsol-relaxed geometry.

It has space group I4mm (No. 107), with a = 2.867 Å, b = 2.867 Å, c = 14.488 Å, α = 90.00°, β = 90.00° and γ = 90.00°. The asymmetric unit holds Li at (0.000, 0.000, 0.000), Sc at (0.000, 0.000, 0.689) and Ta at (0.000, 0.000, 0.334).

The total magnetization is 0.0 Bohr magnetons per cell.


Which of them is the most stable? Correct choice: b.


a:
VASP calculation (SCAN) on LiSc2Tc at its PBEsol-relaxed geometry.

It has space group P2/m (No. 10), with a = 3.242 Å, b = 3.242 Å, c = 7.432 Å, α = 90.00°, β = 90.14° and γ = 90.00°. The asymmetric unit holds Li at (0.000, 0.000, 0.000), Sc at (0.499, 0.500, 0.701) and Tc at (0.000, 0.000, 0.500).

The total magnetization is 0.1 Bohr magnetons per cell.


b:
VASP calculation (SCAN) on LiSc2Tc at its PBEsol-relaxed geometry.

It has space group Fm-3m (No. 225), with a = 6.499 Å, b = 6.499 Å, c = 6.499 Å, α = 90.00°, β = 90.00° and γ = 90.00°. The asymmetric unit holds Li at (0.000, 0.000, 0.000), Sc at (0.250, 0.250, 0.250) and Tc at (0.000, 0.000, 0.500).

The total magnetization is 0.0 Bohr magnetons per cell.


c:
VASP calculation (SCAN) on LiSc2Tc at its PBEsol-relaxed geometry.

It has space group F-43m (No. 216), with a = 6.473 Å, b = 6.473 Å, c = 6.473 Å, α = 90.00°, β = 90.00° and γ = 90.00°. The asymmetric unit holds Li at (0.000, 0.000, 0.000), Sc at (0.000, 0.000, 0.500), Sc at (0.250, 0.250, 0.250) and Tc at (0.250, 0.250, 0.750).

The total magnetization is 0.0 Bohr magnetons per cell.


Which of them is the most stable? Correct choice: a.


a:
VASP calculation (SCAN) on LiScTl2 at its PBEsol-relaxed geometry.

It has space group F-43m (No. 216), with a = 7.103 Å, b = 7.103 Å, c = 7.103 Å, α = 90.00°, β = 90.00° and γ = 90.00°. The asymmetric unit holds Li at (0.000, 0.000, 0.000), Sc at (0.250, 0.250, 0.250), Tl at (0.000, 0.000, 0.500) and Tl at (0.250, 0.250, 0.750).

The total magnetization is 0.0 Bohr magnetons per cell.


b:
VASP calculation (SCAN) on LiScTl2 at its PBEsol-relaxed geometry.

It has space group Fm-3m (No. 225), with a = 6.979 Å, b = 6.979 Å, c = 6.979 Å, α = 90.00°, β = 90.00° and γ = 90.00°. The asymmetric unit holds Li at (0.000, 0.000, 0.000), Sc at (0.000, 0.000, 0.500) and Tl at (0.250, 0.250, 0.250).

The total magnetization is 0.0 Bohr magnetons per cell.


c:
VASP calculation (SCAN) on LiScTl2 at its PBEsol-relaxed geometry.

It has space group Cm (No. 8), with a = 11.263 Å, b = 3.264 Å, c = 5.165 Å, α = 90.00°, β = 108.51° and γ = 90.00°. The asymmetric unit holds Li at (0.000, 0.000, 0.000), Sc at (0.262, 0.500, 0.428), Tl at (0.006, 0.500, 0.490) and Tl at (0.252, 0.000, 0.926).

The total magnetization is 0.0 Bohr magnetons per cell.


Which of them is the most stable? Correct choice: b.


a:
VASP calculation (SCAN) on LiYSc2 at its PBEsol-relaxed geometry.

It has space group R-3m (No. 166, hexagonal axes), with a = 3.2380 Å, b = 3.2380 Å, c = 34.3790 Å, α = 90.00°, β = 90.00° and γ = 120.00°. The asymmetric unit holds Li at (0.0000, 0.0000, 0.0000), Y at (0.0000, 0.0000, 0.5000) and Sc at (0.0000, 0.0000, 0.0878).

The total magnetization is 0.3 Bohr magnetons per cell.


b:
VASP calculation (SCAN) on LiYSc2 at its PBEsol-relaxed geometry.

It has space group Immm (No. 71), with a = 3.483 Å, b = 5.136 Å, c = 10.642 Å, α = 90.00°, β = 90.00° and γ = 90.00°. The asymmetric unit holds Li at (0.000, 0.000, 0.000), Y at (0.000, 0.000, 0.500) and Sc at (0.000, 0.500, 0.275).

The total magnetization is 1.4 Bohr magnetons per cell.


Which of them is the most stable? Correct choice: b.